[1]
Entry from Alexandria: a relaxed structure of Nd6Dy5Mg (PBE).

Output
* calculated formation energy: 0.014 eV/atom
* electronic total energy: -4.421 eV/atom
* volume: 784.9 Å³/cell
* total magnetic moment: 0.00 μB per formula unit

Unit cell a=5.115 b=9.989 c=15.361 alpha=90.00 beta=90.00 gamma=90.00
Space group Immm (No. 71)
One atom of each set of equivalent atoms:
Nd: 0.000 0.247 0.000 x4
Nd: 0.000 0.253 0.333 x8
Dy: 0.000 0.000 0.170 x4
Dy: 0.000 0.000 0.500 x2
Dy: 0.000 0.500 0.165 x4
Mg: 0.000 0.500 0.500 x2

***

[2]
Entry from Alexandria: a relaxed structure of LiHoGe2Pd2 (PBE).

Output
* calculated formation energy: -0.760 eV/atom
* electronic total energy: -5.112 eV/atom
* volume: 104.5 Å³/cell
* total magnetic moment: 0.00 μB per formula unit

Unit cell a=4.2938 b=4.2938 c=6.5456 alpha=90.00 beta=90.00 gamma=120.00
Space group P-3m1 (No. 164)
One atom of each set of equivalent atoms:
Li: 0.0000 0.0000 0.0000 x1
Ho: 0.0000 0.0000 0.5000 x1
Ge: 0.3333 0.6667 0.7660 x2
Pd: 0.3333 0.6667 0.1634 x2

***

[3]
Entry from Alexandria: a relaxed structure of Ca2LuTl (PBE).

Output
* calculated formation energy: -0.142 eV/atom
* electronic total energy: -2.864 eV/atom
* volume: 120.6 Å³/cell
* total magnetic moment: 0.00 μB per formula unit
* energy relative to the lowest polymorph listed for this composition: 0.0 meV/atom

Unit cell a=4.829 b=4.829 c=5.170 alpha=90.00 beta=90.00 gamma=90.00
Space group P4/mmm (No. 123)
One atom of each set of equivalent atoms:
Ca: 0.000 0.500 0.000 x2
Lu: 0.000 0.000 0.500 x1
Tl: 0.500 0.500 0.500 x1

***

[4]
Entry from Alexandria: a relaxed structure of CsRbNaI3 (PBE).

Output
* electronic total energy: -2.695 eV/atom
* volume: 669.9 Å³/cell
* total magnetic moment: 0.11 μB per formula unit
* energy relative to the elements, uncorrected: -8.38 eV per formula unit

Unit cell a=10.925 b=5.298 c=11.762 alpha=90.00 beta=100.29 gamma=90.00
Space group P2_1/m (No. 11)
One atom of each set of equivalent atoms:
Cs: 0.180 0.250 0.200 x2
Rb: 0.345 0.750 0.847 x2
Na: 0.096 0.250 0.599 x2
I: 0.100 0.250 0.855 x2
I: 0.187 0.750 0.507 x2
I: 0.426 0.750 0.164 x2

***

[5]
Entry from Alexandria: a relaxed structure of RbHfMo2 (PBE).

Output
* calculated formation energy: 1.768 eV/atom
* electronic total energy: -6.378 eV/atom
* volume: 441.6 Å³/cell
* total magnetic moment: 0.00 μB per formula unit
* energy relative to the lowest polymorph listed for this composition: 39.4 meV/atom

Unit cell a=4.762 b=4.762 c=19.476 alpha=90.00 beta=90.00 gamma=90.00
Space group I-42d (No. 122)
One atom of each set of equivalent atoms:
Rb: 0.000 0.000 0.000 x4
Hf: 0.000 0.000 0.500 x4
Mo: 0.086 0.250 0.625 x8

***

[6]
Entry from Alexandria: a relaxed structure of CdRh3Se (PBE).

Output
* electronic total energy: -3.667 eV/atom
* volume: 117.3 Å³/cell
* total magnetic moment: 3.47 μB per formula unit
* energy relative to the lowest polymorph listed for this composition: 1343.9 meV/atom
* energy relative to the elements, uncorrected: 8.12 eV per formula unit

Unit cell a=4.895 b=4.895 c=4.895 alpha=90.00 beta=90.00 gamma=90.00
Space group Pm-3m (No. 221)
One atom of each set of equivalent atoms:
Cd: 0.000 0.000 0.000 x1
Rh: 0.000 0.000 0.500 x3
Se: 0.500 0.500 0.500 x1

***

[7]
Entry from Alexandria: a relaxed structure of Pr4Sb2C (PBE).

Output
* electronic total energy: -5.904 eV/atom
* volume: 417.4 Å³/cell
* total magnetic moment: 0.00 μB per formula unit
* energy relative to the lowest polymorph listed for this composition: 0.0 meV/atom
* energy relative to the elements, uncorrected: -4.74 eV per formula unit

Unit cell a=5.032 b=5.032 c=16.487 alpha=90.00 beta=90.00 gamma=90.00
Space group I4/mmm (No. 139)
One atom of each set of equivalent atoms:
Pr: 0.000 0.000 0.160 x4
Pr: 0.000 0.500 0.000 x4
Sb: 0.000 0.000 0.360 x4
C: 0.000 0.000 0.000 x2

***

[8]
Entry from Alexandria: a relaxed structure of InMoW2 (PBE).

Output
* calculated formation energy: 0.384 eV/atom
* electronic total energy: -9.485 eV/atom
* volume: 136.8 Å³/cell
* total magnetic moment: 0.00 μB per formula unit

Unit cell a=3.293 b=4.584 c=9.063 alpha=90.00 beta=90.00 gamma=90.00
Space group Imm2 (No. 44)
One atom of each set of equivalent atoms:
In: 0.000 0.000 0.000 x2
Mo: 0.000 0.500 0.764 x2
W: 0.000 0.000 0.501 x2
W: 0.000 0.500 0.235 x2

***

[9]
Entry from Alexandria: a relaxed structure of LaCe2Si2Ag2 (PBE).

Output
* electronic total energy: -5.168 eV/atom
* volume: 474.3 Å³/cell
* total magnetic moment: 1.61 μB per formula unit
* energy relative to the elements, uncorrected: -2.83 eV per formula unit

Unit cell a=4.4316 b=4.4316 c=27.8891 alpha=90.00 beta=90.00 gamma=120.00
Space group R-3m (No. 166, hexagonal axes)
One atom of each set of equivalent atoms:
La: 0.0000 0.0000 0.0000 x3
Ce: 0.0000 0.0000 0.1426 x6
Si: 0.0000 0.0000 0.2577 x6
Ag: 0.0000 0.0000 0.4088 x6

***

[10]
Entry from Alexandria: a relaxed structure of Cu2SnAu2 (PBE).

Output
* calculated formation energy: 0.093 eV/atom
* electronic total energy: -3.657 eV/atom
* volume: 185.2 Å³/cell
* total magnetic moment: 0.00 μB per formula unit
* energy relative to the lowest polymorph listed for this composition: 117.8 meV/atom

Unit cell a=3.921 b=3.921 c=12.049 alpha=90.00 beta=90.00 gamma=90.00
Space group I4/mmm (No. 139)
One atom of each set of equivalent atoms:
Cu: 0.000 0.000 0.099 x4
Sn: 0.000 0.000 0.500 x2
Au: 0.000 0.500 0.250 x4

***

[11]
Entry from Alexandria: a relaxed structure of Tl6Pb5 (PBE).

Output
* calculated formation energy: 0.047 eV/atom
* electronic total energy: -2.929 eV/atom
* volume: 710.1 Å³/cell
* total magnetic moment: 0.00 μB per formula unit

Unit cell a=9.914 b=12.713 c=6.065 alpha=90.00 beta=111.72 gamma=90.00
Space group C2/m (No. 12)
One atom of each set of equivalent atoms:
Tl: 0.188 0.000 0.151 x4
Tl: 0.188 0.139 0.646 x8
Pb: 0.000 0.232 0.000 x4
Pb: 0.000 0.368 0.500 x4
Pb: 0.000 0.500 0.000 x2

***

[12]
Entry from Alexandria: a relaxed structure of CeTh3Tc2 (PBE).

Output
* calculated formation energy: -0.032 eV/atom
* electronic total energy: -8.186 eV/atom
* volume: 627.7 Å³/cell
* total magnetic moment: 0.00 μB per formula unit

Unit cell a=17.018 b=3.932 c=9.626 alpha=90.00 beta=102.98 gamma=90.00
Space group C2/m (No. 12)
One atom of each set of equivalent atoms:
Ce: 0.105 0.000 0.122 x4
Th: 0.040 0.000 0.669 x4
Th: 0.157 0.500 0.463 x4
Th: 0.188 0.500 0.883 x4
Tc: 0.012 0.500 0.857 x4
Tc: 0.230 0.000 0.705 x4

***

> Which formula does entry 4 have?

CsRbNaI3

***

> Which formula does entry 3 have?

Ca2LuTl

***

> Which value of total magnetic moment does entry 8 give?

0.00 μB per formula unit